1.
Here is crystalline YTiGa4 at its relaxed geometry from Alexandria via LeMat-Bulk. Energies are from PBE.

```
YTiGa4
1.0
0.0000 3.7686 3.7686
3.7686 0.0000 3.7686
3.7686 3.7686 0.0000
Y Ti Ga
1 1 4
Cartesian
0.0000 0.0000 0.0000
5.6529 5.6529 5.6529
2.8303 2.8303 2.8303
4.7069 4.7069 2.8303
4.7069 2.8303 4.7069
2.8303 4.7069 4.7069
```

Output
* magnetic moment: 0.36 μB/cell
* ΔE to the lowest computed polymorph: 0.000 eV per atom
* theoretical density: 6448 kg/m³
* energy relative to the elements: -2.30 eV per formula unit
* uncorrected energy: -28.77 eV/cell

2.
Here is crystalline Na2TbCdBi2 at its relaxed geometry from Alexandria via LeMat-Bulk. Energies are from PBE.

```
Na2TbCdBi2
1.0
4.9348 0.0000 0.0000
0.0000 9.6294 0.0000
0.0000 0.0000 7.3085
Na Tb Cd Bi
4 2 2 4
Cartesian
0.0000 0.3669 0.0000
0.0000 9.2624 3.6542
2.4674 1.5129 2.0920
2.4674 8.1165 5.7463
2.4674 4.6032 6.9374
2.4674 5.0261 3.2832
0.0000 3.1796 4.6488
0.0000 6.4498 0.9946
0.0000 3.4288 1.5382
0.0000 6.2006 5.1924
2.4674 1.7215 5.4202
2.4674 7.9079 1.7660
```

Output
* magnetic moment: 0.00 μB/cell
* theoretical density: 7031 kg/m³
* energy relative to the elements: -2.41 eV per formula unit
* uncorrected energy: -36.72 eV/cell

3.
Here is crystalline Rb3Mg2NpS6 at its relaxed geometry from Alexandria via LeMat-Bulk. Energies are from PBE.

```
Rb3Mg2NpS6
1.0
3.4068 -5.9071 0.0000
3.4068 5.9071 0.0000
-2.2616 0.0000 7.6269
Rb Mg Np S
3 2 1 6
Cartesian
0.0000 0.0000 0.0000
3.4068 2.0124 0.0000
3.4068 -2.0124 0.0000
2.2760 3.9399 3.8135
2.2760 -3.9399 3.8135
2.2760 0.0000 3.8135
1.1542 1.9384 2.4079
0.0439 0.0000 5.2315
1.1542 -1.9384 2.4079
3.3977 1.9384 5.2191
4.5080 0.0000 2.3954
3.3977 -1.9384 5.2191
```

Output
* magnetic moment: 2.00 μB/cell
* E_form (uncorrected): -1.263 eV/atom
* theoretical density: 3973 kg/m³
* uncorrected energy: -58.95 eV/cell

4.
Here is crystalline AlW2Se at its relaxed geometry from Alexandria via LeMat-Bulk. Energies are from PBE.

```
AlW2Se
1.0
-1.9261 1.9261 4.4255
1.9261 -1.9261 4.4255
1.9261 1.9261 -4.4255
Al W Se
1 2 1
Cartesian
0.0000 0.0000 0.0000
1.9261 0.0000 2.2128
0.0000 1.9261 2.2128
0.0000 0.0000 4.4255
```

Output
* magnetic moment: 0.00 μB/cell
* E_form (uncorrected): 0.692 eV/atom
* ΔE to the lowest computed polymorph: 0.570 eV per atom
* theoretical density: 11975 kg/m³
* uncorrected energy: -30.36 eV/cell

5.
Here is crystalline LaAlAgRu2 at its relaxed geometry from Alexandria via LeMat-Bulk. Energies are from PBE.

```
LaAlAgRu2
1.0
4.9376 0.0000 0.0000
0.0000 4.9376 0.0000
0.0000 0.0000 5.2777
La Al Ag Ru
1 1 1 2
Cartesian
0.0000 0.0000 0.0000
2.4688 2.4688 0.0000
0.0000 0.0000 2.6388
0.0000 2.4688 2.6388
2.4688 0.0000 2.6388
```

Output
* magnetic moment: 1.81 μB/cell
* theoretical density: 6142 kg/m³
* energy relative to the elements: 7.00 eV per formula unit
* uncorrected energy: -23.07 eV/cell

6.
Here is crystalline NbTeS2 at its relaxed geometry from Alexandria via LeMat-Bulk. Energies are from PBE.

```
NbTeS2
1.0
-3.2941 3.2941 5.0653
3.2941 -3.2941 5.0653
3.2941 3.2941 -5.0653
Nb Te S
2 2 4
Cartesian
0.0000 0.0000 0.0000
0.0000 3.2941 2.5326
3.2941 0.0000 2.5326
0.0000 0.0000 5.0653
4.9412 1.0743 -1.2663
1.0743 1.6471 1.2663
-1.6471 2.2198 3.7990
2.2198 1.6471 6.3316
```

Output
* magnetic moment: 0.00 μB/cell
* E_form (uncorrected): -0.032 eV/atom
* theoretical density: 4300 kg/m³
* uncorrected energy: -43.18 eV/cell

7.
Here is crystalline TbPa2Re9 at its relaxed geometry from Alexandria via LeMat-Bulk. Energies are from PBE.

```
TbPa2Re9
1.0
2.6347 1.5211 9.1687
-2.6347 1.5211 9.1687
0.0000 -3.0422 9.1687
Tb Pa Re
1 2 9
Cartesian
0.0000 0.0000 0.0000
0.0000 0.0000 4.0344
0.0000 0.0000 23.4718
-1.3354 -0.7710 11.4277
0.0000 0.0000 9.2233
0.0000 -1.5420 16.0786
-1.3354 0.7710 16.0786
0.0000 0.0000 13.7531
1.3354 -0.7710 11.4277
0.0000 1.5420 11.4277
0.0000 0.0000 18.2829
1.3354 0.7710 16.0785
```

Output
* magnetic moment: 0.00 μB/cell
* theoretical density: 17300 kg/m³
* energy relative to the elements: -0.64 eV per formula unit
* uncorrected energy: -136.30 eV/cell

8.
Here is crystalline NaBe2O2 at its relaxed geometry from Alexandria via LeMat-Bulk. Energies are from PBE.

```
NaBe2O2
1.0
6.8701 0.0000 0.0000
0.0000 6.8701 0.0000
0.0000 0.0000 2.7081
Na Be O
2 4 4
Cartesian
0.0000 0.0000 0.0000
3.4351 3.4351 0.0000
0.8145 2.6206 0.0000
2.6206 6.0556 0.0000
4.2495 0.8145 0.0000
6.0556 4.2495 0.0000
1.2784 2.1566 1.3540
2.1566 5.5917 1.3540
4.7135 1.2784 1.3540
5.5917 4.7135 1.3540
```

Output
* magnetic moment: 1.64 μB/cell
* E_form (uncorrected): -1.449 eV/atom
* ΔE to the lowest computed polymorph: 0.220 eV per atom
* theoretical density: 1897 kg/m³
* uncorrected energy: -51.86 eV/cell

9.
Here is crystalline AcTb5Dy4 at its relaxed geometry from Alexandria via LeMat-Bulk. Energies are from PBE.

```
AcTb5Dy4
1.0
7.8013 -1.8011 0.0000
7.8013 1.8011 0.0000
-2.4257 0.0000 11.6670
Ac Tb Dy
1 5 4
Cartesian
0.0000 0.0000 0.0000
0.8502 0.0000 3.5389
2.4416 0.0000 10.4543
6.5885 0.0000 5.8335
10.7353 0.0000 1.2126
12.3267 0.0000 8.1280
1.6555 0.0000 6.9723
5.7225 0.0000 2.4102
7.4544 0.0000 9.2568
11.5214 0.0000 4.6946
```

Output
* magnetic moment: 0.00 μB/cell
* theoretical density: 8466 kg/m³
* energy relative to the elements: 0.34 eV per formula unit
* uncorrected energy: -45.33 eV/cell

10.
Here is crystalline HfPa2Te6 at its relaxed geometry from Alexandria via LeMat-Bulk. Energies are from PBE.

```
HfPa2Te6
1.0
7.2992 0.0000 0.0000
0.0000 7.2992 0.0000
0.0000 0.0000 12.4504
Hf Pa Te
2 4 12
Cartesian
0.0000 0.0000 0.0000
3.6496 3.6496 6.2252
0.0000 0.0000 4.1629
0.0000 0.0000 8.2874
3.6496 3.6496 2.0622
3.6496 3.6496 10.3881
1.4721 1.4721 1.9812
1.4721 1.4721 10.4691
1.5631 1.5631 6.2252
2.0865 5.2127 0.0000
2.1775 5.1217 4.2440
2.1775 5.1217 8.2064
5.1217 2.1775 4.2440
5.1217 2.1775 8.2064
5.2127 2.0865 0.0000
5.7361 5.7361 6.2252
5.8271 5.8271 1.9812
5.8271 5.8271 10.4691
```

Output
* magnetic moment: 4.13 μB/cell
* E_form (uncorrected): -0.661 eV/atom
* ΔE to the lowest computed polymorph: 0.122 eV per atom
* theoretical density: 7040 kg/m³
* uncorrected energy: -107.49 eV/cell

11.
Here is crystalline ZnSi2Cl at its relaxed geometry from Alexandria via LeMat-Bulk. Energies are from PBE.

```
ZnSi2Cl
1.0
2.4649 -6.2842 0.0000
2.4649 6.2842 0.0000
-2.4031 0.0000 2.5048
Zn Si Cl
1 2 1
Cartesian
0.0000 0.0000 0.0000
1.2325 3.1421 0.0000
1.2325 -3.1421 0.0000
2.4649 0.0000 0.0000
```

Output
* magnetic moment: 0.00 μB/cell
* E_form (uncorrected): 0.302 eV/atom
* ΔE to the lowest computed polymorph: 0.307 eV per atom
* theoretical density: 3360 kg/m³
* uncorrected energy: -12.76 eV/cell

12.
Here is crystalline SmB2Rh3 at its relaxed geometry from Alexandria via LeMat-Bulk. Energies are from PBE.

```
SmB2Rh3
1.0
8.9569 0.0000 0.0000
-4.4785 7.7569 0.0000
0.0000 0.0000 3.5784
Sm B Rh
3 6 9
Cartesian
0.0000 0.0000 0.0000
0.0000 5.1713 1.7892
4.4785 2.5856 1.7892
0.0000 2.9173 0.0000
-1.9520 6.2983 0.0000
2.5264 1.4586 0.0000
1.9520 6.2983 0.0000
6.4305 1.4586 0.0000
4.4785 4.8396 0.0000
-1.2698 2.1993 1.7892
-2.2392 3.8785 0.0000
-3.2087 5.5576 1.7892
2.5396 0.0000 1.7892
1.2698 2.1993 1.7892
4.4785 0.0000 0.0000
2.2392 3.8785 0.0000
6.4173 0.0000 1.7892
3.2087 5.5576 1.7892
```

Output
* magnetic moment: 0.00 μB/cell
* ΔE to the lowest computed polymorph: 0.331 eV per atom
* theoretical density: 9632 kg/m³
* energy relative to the elements: -2.11 eV per formula unit
* uncorrected energy: -126.72 eV/cell

Please write out number 11 again, unchanged.
Here is crystalline ZnSi2Cl at its relaxed geometry from Alexandria via LeMat-Bulk. Energies are from PBE.

```
ZnSi2Cl
1.0
2.4649 -6.2842 0.0000
2.4649 6.2842 0.0000
-2.4031 0.0000 2.5048
Zn Si Cl
1 2 1
Cartesian
0.0000 0.0000 0.0000
1.2325 3.1421 0.0000
1.2325 -3.1421 0.0000
2.4649 0.0000 0.0000
```

Output
* magnetic moment: 0.00 μB/cell
* E_form (uncorrected): 0.302 eV/atom
* ΔE to the lowest computed polymorph: 0.307 eV per atom
* theoretical density: 3360 kg/m³
* uncorrected energy: -12.76 eV/cell